# 1
First-principles (PBE) data for an optimized crystal structure of Pr3Dy2Er6Pb, as listed in the Alexandria database.

```
Pr3Dy2Er6Pb
1.0
6.146 0.001 0.014
-3.071 5.324 0.014
-1.053 -1.824 11.472
Pr Dy Er Pb
3 2 6 1
Direct
0.167 0.833 0.500 Pr
0.500 0.500 0.500 Pr
0.833 0.167 0.500 Pr
0.666 0.334 0.000 Dy
0.334 0.666 0.000 Dy
0.919 0.591 0.757 Er
0.753 0.753 0.244 Er
0.591 0.919 0.757 Er
0.081 0.409 0.243 Er
0.409 0.081 0.243 Er
0.247 0.247 0.756 Er
0.000 0.000 0.000 Pb
```

E_form   -0.05 eV/atom
D(E_F)   16.116 states/eV/f.u.
Energy   -4.599 eV/atom

---

# 2
First-principles (PBE) data for an optimized crystal structure of Tl2VCrCu, as listed in the Alexandria database.

```
Tl2VCrCu
1.0
-0.524 -4.564 2.619
3.563 -1.836 -2.487
3.426 1.702 3.651
Tl Cu Cr V
2 1 1 1
Direct
0.500 0.000 0.000 Tl
0.000 0.000 0.500 Tl
0.000 0.500 0.000 Cu
0.500 0.500 0.500 Cr
0.000 0.000 0.000 V
```

E_form   1.13 eV/atom
D(E_F)   3.994 states/eV/f.u.
Energy   -4.384 eV/atom

---

# 3
First-principles (PBE) data for an optimized crystal structure of Mn2ReCl2, as listed in the Alexandria database.

```
Mn2ReCl2
1.0
4.892 0.000 0.000
0.000 4.892 0.000
2.446 2.446 3.664
Cl Mn Re
2 2 1
Direct
0.313 0.313 0.373 Cl
0.687 0.687 0.627 Cl
0.750 0.250 0.500 Mn
0.250 0.750 0.500 Mn
0.000 0.000 0.000 Re
```

Excess energy over the best structure of this formula in the dataset   0 meV per atom
E_form (uncorrected)   0.79 eV per atom
D(E_F)   6.171 states/eV/f.u.
Energy   -6.102 eV/atom

---

# 4
First-principles (PBE) data for an optimized crystal structure of YTlBr4, as listed in the Alexandria database.

```
YTlBr4
1.0
-3.989 -1.374 0.978
-0.008 -4.338 -6.128
2.921 -5.814 3.746
Br Tl Y
4 1 1
Direct
0.000 0.175 0.175 Br
0.500 0.265 0.735 Br
0.500 0.735 0.265 Br
0.000 0.825 0.825 Br
0.000 0.500 0.500 Tl
0.500 0.000 0.000 Y
```

Excess energy over the best structure of this formula in the dataset   16 meV per atom
E_form (uncorrected)   -1.51 eV per atom
D(E_F)   0.000 states/eV/f.u.
Energy   -4.100 eV/atom

---

# 5
First-principles (PBE) data for an optimized crystal structure of Tl2CuH2, as listed in the Alexandria database.

```
Tl2CuH2
1.0
-2.516 2.310 0.710
-0.275 -1.291 3.229
3.166 4.829 4.084
H Tl Cu
2 2 1
Direct
0.250 0.750 0.500 H
0.750 0.250 0.500 H
0.636 0.636 0.727 Tl
0.364 0.364 0.273 Tl
0.000 0.000 0.000 Cu
```

Excess energy over the best structure of this formula in the dataset   40 meV per atom
D(E_F)   1.141 states/eV/f.u.
Energy   -2.563 eV/atom

---

# 6
First-principles (PBE) data for an optimized crystal structure of MgSiSe2Br, as listed in the Alexandria database.

```
MgSiSe2Br
1.0
4.914 0.000 0.000
0.000 4.914 0.000
0.000 0.000 5.029
Br Se Mg Si
1 2 1 1
Direct
0.000 0.000 0.500 Br
0.500 0.000 0.000 Se
0.000 0.500 0.000 Se
0.500 0.500 0.500 Mg
0.000 0.000 0.000 Si
```

Excess energy over the best structure of this formula in the dataset   0 meV per atom
E_form (uncorrected)   -0.11 eV per atom
D(E_F)   1.368 states/eV/f.u.
Energy   -3.240 eV/atom

---

# 7
First-principles (PBE) data for an optimized crystal structure of Sr2ZrCo, as listed in the Alexandria database.

```
Sr2ZrCo
1.0
-1.364 1.858 4.783
-4.251 -3.180 0.034
4.840 -2.038 -0.780
Co Sr Zr
1 2 1
Direct
0.750 0.250 0.500 Co
0.000 0.000 0.000 Sr
0.250 0.750 0.500 Sr
0.500 0.500 0.000 Zr
```

Excess energy over the best structure of this formula in the dataset   633 meV per atom
E_form   0.80 eV/atom
D(E_F)   5.008 states/eV/f.u.
Energy   -3.953 eV/atom

---

# 8
First-principles (PBE) data for an optimized crystal structure of Ga2CuW2, as listed in the Alexandria database.

```
Ga2CuW2
1.0
-1.792 -2.273 1.996
2.728 -2.217 -0.075
2.907 0.573 6.359
Cu W Ga
1 2 2
Direct
0.000 0.000 0.000 Cu
0.407 0.407 0.187 W
0.593 0.593 0.813 W
0.750 0.250 0.500 Ga
0.250 0.750 0.500 Ga
```

Excess energy over the best structure of this formula in the dataset   212 meV per atom
E_form   0.65 eV/atom
D(E_F)   3.254 states/eV/f.u.
Energy   -6.557 eV/atom

---

# 9
First-principles (PBE) data for an optimized crystal structure of Pm3Pr2Ho6Er, as listed in the Alexandria database.

```
Pm3Pr2Ho6Er
1.0
6.218 0.000 0.007
-3.107 5.386 0.007
-1.047 -1.812 11.635
Ho Pm Pr Er
6 3 2 1
Direct
0.084 0.416 0.250 Ho
0.416 0.084 0.250 Ho
0.751 0.751 0.250 Ho
0.249 0.249 0.750 Ho
0.916 0.584 0.750 Ho
0.584 0.916 0.750 Ho
0.167 0.833 0.500 Pm
0.500 0.500 0.500 Pm
0.833 0.167 0.500 Pm
0.666 0.334 0.000 Pr
0.334 0.666 0.000 Pr
0.000 0.000 0.000 Er
```

E_form   0.01 eV/atom
D(E_F)   14.117 states/eV/f.u.
Energy   -4.639 eV/atom

---

# 10
First-principles (PBE) data for an optimized crystal structure of ZnCo4W, as listed in the Alexandria database.

```
ZnCo4W
1.0
3.443 -0.330 3.099
-0.474 -2.747 3.715
2.469 -3.921 0.320
Co Zn W
4 1 1
Direct
0.374 0.374 0.877 Co
0.374 0.877 0.374 Co
0.374 0.374 0.374 Co
0.877 0.374 0.374 Co
0.000 0.000 0.000 Zn
0.750 0.750 0.750 W
```

E_form   0.07 eV/atom
D(E_F)   6.539 states/eV/f.u.
Energy   -7.034 eV/atom

---

# 11
First-principles (PBE) data for an optimized crystal structure of As2Ir, as listed in the Alexandria database.

```
As2Ir
1.0
1.492 -7.626 0.000
1.492 7.626 0.000
0.000 0.000 4.936
As Ir
4 2
Direct
0.800 0.200 0.250 As
0.530 0.470 0.250 As
0.200 0.800 0.750 As
0.470 0.530 0.750 As
0.161 0.839 0.250 Ir
0.839 0.161 0.750 Ir
```

E_form   -0.10 eV/atom
D(E_F)   2.013 states/eV/f.u.
Energy   -6.149 eV/atom

---

# 12
First-principles (PBE) data for an optimized crystal structure of Pr2Th3Rh2, as listed in the Alexandria database.

```
Pr2Th3Rh2
1.0
3.738 0.000 1.050
1.344 5.738 2.393
-0.547 -0.136 9.121
Th Rh Pr
3 2 2
Direct
0.500 0.000 0.000 Th
0.621 0.195 0.563 Th
0.379 0.805 0.437 Th
0.131 0.952 0.786 Rh
0.869 0.048 0.214 Rh
0.160 0.475 0.204 Pr
0.840 0.525 0.796 Pr
```

E_form   -0.52 eV/atom
D(E_F)   7.091 states/eV/f.u.
Energy   -7.163 eV/atom

---

# 13
First-principles (PBE) data for an optimized crystal structure of ScPbO2F, as listed in the Alexandria database.

```
ScPbO2F
1.0
-3.769 -1.290 -1.850
1.305 -4.186 0.261
-1.869 -0.330 4.038
O Sc F Pb
2 1 1 1
Direct
0.500 0.000 0.000 O
0.000 0.500 0.000 O
0.500 0.500 0.500 Sc
0.000 0.000 0.500 F
0.000 0.000 0.000 Pb
```

E_form (uncorrected)   -1.07 eV per atom
D(E_F)   4.311 states/eV/f.u.
Energy   -5.433 eV/atom

---

# 14
First-principles (PBE) data for an optimized crystal structure of HfMgPt2, as listed in the Alexandria database.

```
HfMgPt2
1.0
3.327 0.000 0.000
0.000 3.327 0.000
0.000 0.000 6.332
Hf Pt Mg
1 2 1
Direct
0.500 0.500 0.500 Hf
0.000 0.000 0.254 Pt
0.000 0.000 0.746 Pt
0.500 0.500 0.000 Mg
```

E_form   -1.00 eV/atom
D(E_F)   1.441 states/eV/f.u.
Energy   -6.905 eV/atom

---

# 15
First-principles (PBE) data for an optimized crystal structure of CaMg2Zn3, as listed in the Alexandria database.

```
CaMg2Zn3
1.0
5.367 0.000 0.000
-2.683 4.648 0.000
0.000 0.000 10.437
Ca Zn Mg
2 6 4
Direct
0.000 0.000 0.500 Ca
0.000 0.000 0.000 Ca
0.655 0.827 0.250 Zn
0.345 0.173 0.750 Zn
0.173 0.827 0.250 Zn
0.173 0.345 0.250 Zn
0.827 0.173 0.750 Zn
0.827 0.655 0.750 Zn
0.667 0.333 0.397 Mg
0.333 0.667 0.603 Mg
0.333 0.667 0.897 Mg
0.667 0.333 0.103 Mg
```

Excess energy over the best structure of this formula in the dataset   142 meV per atom
E_form   0.00 eV/atom
D(E_F)   1.655 states/eV/f.u.
Energy   -1.504 eV/atom

---

# 16
First-principles (PBE) data for an optimized crystal structure of ErTcNiP2, as listed in the Alexandria database.

```
ErTcNiP2
1.0
3.892 0.000 0.000
0.000 3.892 0.000
-1.946 -1.946 4.948
Tc P Ni Er
1 2 1 1
Direct
0.750 0.250 0.500 Tc
0.619 0.619 0.239 P
0.381 0.381 0.761 P
0.250 0.750 0.500 Ni
0.000 0.000 0.000 Er
```

E_form   -0.89 eV/atom
D(E_F)   2.078 states/eV/f.u.
Energy   -7.199 eV/atom

---

# 17
First-principles (PBE) data for an optimized crystal structure of RhW2Au, as listed in the Alexandria database.

```
RhW2Au
1.0
-6.579 6.764 -0.922
-6.794 6.350 1.851
-4.846 8.106 0.838
Au Rh W
1 1 2
Direct
0.500 0.500 0.500 Au
0.000 0.000 0.000 Rh
0.747 0.747 0.747 W
0.253 0.253 0.253 W
```

Excess energy over the best structure of this formula in the dataset   98 meV per atom
E_form   0.21 eV/atom
D(E_F)   2.198 states/eV/f.u.
Energy   -8.925 eV/atom

---

# 18
First-principles (PBE) data for an optimized crystal structure of Ti4H2S5, as listed in the Alexandria database.

```
Ti4H2S5
1.0
-3.323 0.078 -0.486
0.672 -6.053 -5.568
0.827 -3.704 5.362
S H Ti
5 2 4
Direct
0.213 0.830 0.425 S
0.877 0.585 0.753 S
0.500 0.000 0.000 S
0.123 0.415 0.247 S
0.787 0.170 0.575 S
0.450 0.319 0.900 H
0.550 0.681 0.100 H
0.310 0.381 0.620 Ti
0.971 0.197 0.943 Ti
0.690 0.619 0.380 Ti
0.029 0.803 0.057 Ti
```

D(E_F)   7.209 states/eV/f.u.
Energy   -6.424 eV/atom

---

# 19
First-principles (PBE) data for an optimized crystal structure of Th4SiTe2Se, as listed in the Alexandria database.

```
Th4SiTe2Se
1.0
-4.081 -1.339 0.433
2.397 -6.603 2.181
-0.840 4.584 6.259
Si Th Te Se
1 4 2 1
Direct
0.000 0.000 0.000 Si
0.500 0.768 0.785 Th
0.500 0.232 0.215 Th
0.000 0.746 0.218 Th
0.000 0.254 0.782 Th
0.500 0.000 0.500 Te
0.000 0.500 0.500 Te
0.500 0.500 0.000 Se
```

E_form (uncorrected)   -1.15 eV per atom
D(E_F)   5.972 states/eV/f.u.
Energy   -6.757 eV/atom

---

# 20
First-principles (PBE) data for an optimized crystal structure of La3Ce2ScSe6, as listed in the Alexandria database.

```
La3Ce2ScSe6
1.0
-1.849 0.099 7.035
4.733 -4.949 -2.454
4.242 5.964 -0.231
Sc Se Ce La
1 6 2 3
Direct
0.000 0.000 0.000 Sc
0.923 0.604 0.768 Se
0.240 0.240 0.762 Se
0.604 0.923 0.768 Se
0.077 0.396 0.232 Se
0.760 0.760 0.238 Se
0.396 0.077 0.232 Se
0.334 0.666 0.000 Ce
0.666 0.334 0.000 Ce
0.829 0.171 0.500 La
0.171 0.829 0.500 La
0.500 0.500 0.500 La
```

E_form (uncorrected)   -1.85 eV per atom
D(E_F)   16.374 states/eV/f.u.
Energy   -6.341 eV/atom

---

# 21
First-principles (PBE) data for an optimized crystal structure of ZnSn2Pb, as listed in the Alexandria database.

```
ZnSn2Pb
1.0
3.785 0.000 0.000
0.000 3.785 0.000
0.000 0.000 7.205
Pb Zn Sn
1 1 2
Direct
0.500 0.500 0.500 Pb
0.500 0.500 0.000 Zn
0.000 0.000 0.212 Sn
0.000 0.000 0.788 Sn
```

Excess energy over the best structure of this formula in the dataset   0 meV per atom
E_form   0.10 eV/atom
D(E_F)   1.776 states/eV/f.u.
Energy   -3.147 eV/atom

---

# 22
First-principles (PBE) data for an optimized crystal structure of TiZn4Pd, as listed in the Alexandria database.

```
TiZn4Pd
1.0
2.676 0.000 -0.826
-0.255 2.664 -0.826
2.176 2.394 11.794
Zn Ti Pd
4 1 1
Direct
0.582 0.582 0.165 Zn
0.675 0.175 0.351 Zn
0.825 0.325 0.649 Zn
0.418 0.418 0.835 Zn
0.000 0.000 0.000 Ti
0.250 0.750 0.500 Pd
```

Excess energy over the best structure of this formula in the dataset   25 meV per atom
E_form   -0.18 eV/atom
D(E_F)   4.399 states/eV/f.u.
Energy   -3.211 eV/atom

---

# 23
First-principles (PBE) data for an optimized crystal structure of Ac2BeHgPt6, as listed in the Alexandria database.

```
Ac2BeHgPt6
1.0
5.979 0.020 0.019
-0.046 7.639 1.159
2.928 4.622 5.396
Hg Pt Ac Be
1 6 2 1
Direct
0.000 0.000 0.000 Hg
0.735 0.800 0.529 Pt
0.266 0.734 0.941 Pt
0.265 0.200 0.471 Pt
0.734 0.266 0.059 Pt
0.203 0.266 0.061 Pt
0.797 0.734 0.939 Pt
0.736 0.263 0.530 Ac
0.264 0.737 0.470 Ac
0.500 0.500 0.000 Be
```

E_form   -0.70 eV/atom
D(E_F)   4.182 states/eV/f.u.
Energy   -5.554 eV/atom

---

# 24
First-principles (PBE) data for an optimized crystal structure of Sm3Hg4Pb, as listed in the Alexandria database.

```
Sm3Hg4Pb
1.0
5.091 0.000 1.503
2.324 4.529 1.503
-0.012 -0.007 9.415
Sm Hg Pb
3 4 1
Direct
0.257 0.257 0.228 Sm
0.500 0.500 0.500 Sm
0.743 0.743 0.772 Sm
0.868 0.868 0.395 Hg
0.381 0.381 0.857 Hg
0.619 0.619 0.143 Hg
0.132 0.132 0.605 Hg
0.000 0.000 0.000 Pb
```

E_form   -0.42 eV/atom
D(E_F)   7.060 states/eV/f.u.
Energy   -2.801 eV/atom

---

# 25
First-principles (PBE) data for an optimized crystal structure of Li2ZnAu, as listed in the Alexandria database.

```
Li2ZnAu
1.0
-4.906 -0.667 7.620
-7.024 -1.032 5.673
-5.418 -3.297 6.509
Li Au Zn
2 1 1
Direct
0.004 0.004 0.004 Li
0.496 0.496 0.496 Li
0.750 0.750 0.750 Au
0.250 0.250 0.250 Zn
```

E_form   -0.23 eV/atom
D(E_F)   2.073 states/eV/f.u.
Energy   -2.323 eV/atom